{"formula": "RbZn4Si2", "functional": "PBE", "state": "relaxed", "e_form_raw_ev_per_atom": 0.11, "total_energy_ev_per_cell": -16.12, "crystal_system": "orthorhombic", "n_ef_per_ev_cell": 2.111, "space_group": "No. 65", "total_magnetization_mub_per_atom": 0.000, "lattice": [[4.316, 0.000, 0.000], [0.000, 4.304, 0.000], [0.000, -2.152, 7.262]], "species": ["Zn", "Zn", "Zn", "Zn", "Rb", "Si", "Si"], "frac_coords": [[0.000, 0.688, 0.376], [0.000, 0.312, 0.624], [0.500, 0.817, 0.635], [0.500, 0.183, 0.365], [0.000, 0.000, 0.000], [0.500, 0.408, 0.816], [0.500, 0.592, 0.184]]}

{"formula": "Pr3Sm2Y8", "functional": "PBE", "state": "relaxed", "e_form_kj_per_mol_atoms": 23, "total_energy_ev_per_cell": -72.44, "crystal_system": "monoclinic", "n_ef_per_ev_cell": 17.487, "space_group": "No. 12", "total_magnetization_mub_per_atom": 0.000, "lattice": [[-3.750, -1.463, 5.724], [-6.240, -7.320, -0.295], [1.589, -8.313, 4.580]], "species": ["Pr", "Pr", "Pr", "Sm", "Sm", "Y", "Y", "Y", "Y", "Y", "Y", "Y", "Y"], "frac_coords": [[0.500, 0.000, 0.000], [0.000, 0.824, 0.176], [0.000, 0.176, 0.824], [0.495, 0.215, 0.215], [0.505, 0.785, 0.785], [0.014, 0.192, 0.192], [0.060, 0.585, 0.585], [0.440, 0.439, 0.799], [0.560, 0.561, 0.201], [0.440, 0.799, 0.439], [0.986, 0.808, 0.808], [0.940, 0.415, 0.415], [0.560, 0.201, 0.561]]}

{"formula": "Mn2PdRh", "functional": "PBE", "state": "relaxed", "e_form_kj_per_mol_atoms": 31, "total_energy_ev_per_cell": -59.21, "crystal_system": "tetragonal", "n_ef_per_ev_cell": 7.035, "space_group": "No. 122", "total_magnetization_mub_per_atom": 2.062, "lattice": [[6.801, 0.000, 0.000], [0.000, 6.801, 0.000], [3.401, 3.401, 2.761]], "species": ["Mn", "Mn", "Mn", "Mn", "Rh", "Rh", "Pd", "Pd"], "frac_coords": [[0.619, 0.125, 0.250], [0.131, 0.625, 0.250], [0.375, 0.381, 0.750], [0.875, 0.869, 0.750], [0.250, 0.750, 0.500], [0.500, 0.500, 0.000], [0.000, 0.000, 0.000], [0.750, 0.250, 0.500]]}

{"formula": "Al3CoSe", "functional": "PBE", "state": "relaxed", "e_form_raw_ev_per_atom": -0.04, "total_energy_ev_per_cell": -22.03, "crystal_system": "cubic", "n_ef_per_ev_cell": 3.355, "space_group": "No. 221", "de_polymorph_ev_per_atom": 0.000, "total_magnetization_mub_per_atom": 0.000, "lattice": [[-3.163, -1.819, 2.691], [-2.167, -1.617, -3.640], [2.421, -3.825, 0.259]], "species": ["Co", "Se", "Al", "Al", "Al"], "frac_coords": [[0.000, 0.000, 0.000], [0.500, 0.500, 0.500], [0.500, 0.000, 0.000], [0.000, 0.000, 0.500], [0.000, 0.500, 0.000]]}

{"formula": "Tl3Zn", "functional": "PBE", "state": "relaxed", "e_form_kj_per_mol_atoms": 9, "total_energy_ev_per_cell": -7.99, "crystal_system": "tetragonal", "n_ef_per_ev_cell": 1.269, "space_group": "No. 123", "total_magnetization_mub_per_atom": 0.000, "lattice": [[3.756, 0.000, 0.000], [0.000, 3.756, 0.000], [0.000, 0.000, 7.716]], "species": ["Zn", "Tl", "Tl", "Tl"], "frac_coords": [[0.500, 0.500, 0.750], [0.000, 0.000, 0.530], [0.000, 0.000, 0.970], [0.500, 0.500, 0.250]]}

{"formula": "Pm2Pd6Pb", "functional": "PBE", "state": "relaxed", "e_form_kj_per_mol_atoms": -41, "total_energy_ev_per_cell": -48.15, "crystal_system": "orthorhombic", "n_ef_per_ev_cell": 3.852, "space_group": "No. 71", "total_magnetization_mub_per_atom": 0.000, "lattice": [[4.201, 0.000, -0.157], [0.000, 8.612, 0.000], [-1.894, -4.306, 5.554]], "species": ["Pd", "Pd", "Pd", "Pd", "Pd", "Pd", "Pm", "Pm", "Pb"], "frac_coords": [[0.837, 0.099, 0.675], [0.500, 0.227, 0.000], [0.163, 0.901, 0.325], [0.500, 0.773, 0.000], [0.837, 0.576, 0.675], [0.163, 0.424, 0.325], [0.671, 0.670, 0.340], [0.329, 0.330, 0.660], [0.000, 0.000, 0.000]]}

{"formula": "ErAs2", "functional": "PBE", "state": "relaxed", "e_form_kj_per_mol_atoms": -72, "total_energy_ev_per_cell": -16.12, "crystal_system": "monoclinic", "n_ef_per_ev_cell": 1.341, "space_group": "No. 12", "total_magnetization_mub_per_atom": 0.000, "lattice": [[-1.688, 3.034, 1.587], [-3.286, -1.931, 0.217], [3.468, -2.034, 3.327]], "species": ["As", "As", "Er"], "frac_coords": [[0.123, 0.123, 0.277], [0.877, 0.877, 0.723], [0.500, 0.500, 0.000]]}

{"formula": "NaLiPdO2", "functional": "PBE", "state": "relaxed", "e_form_raw_ev_per_atom": -1.05, "total_energy_ev_per_cell": -47.14, "crystal_system": "monoclinic", "space_group": "No. 10", "total_magnetization_mub_per_atom": 0.000, "lattice": [[-3.190, 0.977, -1.027], [0.785, -2.839, -5.141], [-2.685, -4.171, 4.373]], "species": ["Pd", "Pd", "Na", "Na", "Li", "Li", "O", "O", "O", "O"], "frac_coords": [[0.500, 0.000, 0.750], [0.500, 0.000, 0.250], [0.000, 0.500, 0.750], [0.000, 0.500, 0.250], [0.000, 0.000, 0.000], [0.000, 0.000, 0.500], [0.500, 0.773, 0.434], [0.500, 0.227, 0.566], [0.500, 0.773, 0.934], [0.500, 0.227, 0.066]]}